#a
# HfAl2Os2, relaxed, DFT PBE
data_HfAl2Os2
_chemical_formula_sum 'Hf2 Al4 Os4'
_symmetry_space_group_name_H-M 'I 4/m m m'
_symmetry_Int_Tables_number 139
_symmetry_space_group_name_Hall '-I 4 2'
_cell_length_a 3.509
_cell_length_b 3.509
_cell_length_c 13.327
_cell_angle_alpha 90.00
_cell_angle_beta 90.00
_cell_angle_gamma 90.00
loop_
_atom_site_label
_atom_site_type_symbol
_atom_site_fract_x
_atom_site_fract_y
_atom_site_fract_z
Hf1 Hf 0.000 0.000 0.000
Al1 Al 0.000 0.500 0.250
Os1 Os 0.000 0.000 0.391
# Total magnetic moment (μB per formula unit): 0.0

***

#b
# HfAl2Os2, relaxed, DFT PBE
data_HfAl2Os2
_chemical_formula_sum 'Hf2 Al4 Os4'
_symmetry_space_group_name_H-M 'P 4/m b m'
_symmetry_Int_Tables_number 127
_symmetry_space_group_name_Hall '-P 4 2ab'
_cell_length_a 7.224
_cell_length_b 7.224
_cell_length_c 3.048
_cell_angle_alpha 90.00
_cell_angle_beta 90.00
_cell_angle_gamma 90.00
loop_
_atom_site_label
_atom_site_type_symbol
_atom_site_fract_x
_atom_site_fract_y
_atom_site_fract_z
Hf1 Hf 0.000 0.000 0.000
Al1 Al 0.145 0.355 0.500
Os1 Os 0.150 0.650 0.000
# Total magnetic moment (μB per formula unit): 0.0

***

Most stable pick: #b. Distance to second place: 4.0 kJ/mol of atoms.

***

#a
# HfAlOs3, relaxed, DFT PBE
data_HfAlOs3
_chemical_formula_sum 'Hf1 Al1 Os3'
_symmetry_space_group_name_H-M 'P m -3 m'
_symmetry_Int_Tables_number 221
_symmetry_space_group_name_Hall '-P 4 2 3'
_cell_length_a 4.416
_cell_length_b 4.416
_cell_length_c 4.416
_cell_angle_alpha 90.00
_cell_angle_beta 90.00
_cell_angle_gamma 90.00
loop_
_atom_site_label
_atom_site_type_symbol
_atom_site_fract_x
_atom_site_fract_y
_atom_site_fract_z
Hf1 Hf 0.000 0.000 0.000
Al1 Al 0.500 0.500 0.500
Os1 Os 0.000 0.500 0.500
# Total magnetic moment (μB per formula unit): 0.0

***

#b
# HfAlOs3, relaxed, DFT PBE
data_HfAlOs3
_chemical_formula_sum 'Hf1 Al1 Os3'
_symmetry_space_group_name_H-M 'P m -3 m'
_symmetry_Int_Tables_number 221
_symmetry_space_group_name_Hall '-P 4 2 3'
_cell_length_a 4.772
_cell_length_b 4.772
_cell_length_c 4.772
_cell_angle_alpha 90.00
_cell_angle_beta 90.00
_cell_angle_gamma 90.00
loop_
_atom_site_label
_atom_site_type_symbol
_atom_site_fract_x
_atom_site_fract_y
_atom_site_fract_z
Hf1 Hf 0.000 0.000 0.000
Al1 Al 0.500 0.500 0.500
Os1 Os 0.000 0.000 0.500
# Total magnetic moment (μB per formula unit): 1.1

***

Most stable pick: #a. Distance to second place: 138.1 kJ/mol of atoms.

***

#a
# Hf4AlP, relaxed, DFT PBE
data_Hf4AlP
_chemical_formula_sum 'Hf8 Al2 P2'
_symmetry_space_group_name_H-M 'P 1 21/c 1'
_symmetry_Int_Tables_number 14
_symmetry_space_group_name_Hall '-P 2ybc'
_cell_length_a 6.437
_cell_length_b 6.109
_cell_length_c 7.480
_cell_angle_alpha 90.00
_cell_angle_beta 117.08
_cell_angle_gamma 90.00
loop_
_atom_site_label
_atom_site_type_symbol
_atom_site_fract_x
_atom_site_fract_y
_atom_site_fract_z
Hf1 Hf 0.143 0.202 0.272
Hf2 Hf 0.331 0.747 0.685
Al1 Al 0.500 0.000 0.000
P1 P 0.000 0.000 0.500
# Total magnetic moment (μB per formula unit): 0.0

***

#b
# Hf4AlP, relaxed, DFT PBE
data_Hf4AlP
_chemical_formula_sum 'Hf8 Al2 P2'
_symmetry_space_group_name_H-M 'P 4/m c c'
_symmetry_Int_Tables_number 124
_symmetry_space_group_name_Hall '-P 4 2c'
_cell_length_a 6.577
_cell_length_b 6.577
_cell_length_c 5.269
_cell_angle_alpha 90.00
_cell_angle_beta 90.00
_cell_angle_gamma 90.00
loop_
_atom_site_label
_atom_site_type_symbol
_atom_site_fract_x
_atom_site_fract_y
_atom_site_fract_z
Hf1 Hf 0.147 0.336 0.000
Al1 Al 0.500 0.500 0.250
P1 P 0.000 0.000 0.250
# Total magnetic moment (μB per formula unit): 0.0

***

Most stable pick: #b. Distance to second place: 50.6 kJ/mol of atoms.

***

#a
# HfAlPS2, relaxed, DFT PBE
data_HfAlPS2
_chemical_formula_sum 'Hf1 Al1 P1 S2'
_symmetry_space_group_name_H-M 'P 4/m m m'
_symmetry_Int_Tables_number 123
_symmetry_space_group_name_Hall '-P 4 2'
_cell_length_a 4.896
_cell_length_b 4.896
_cell_length_c 5.112
_cell_angle_alpha 90.00
_cell_angle_beta 90.00
_cell_angle_gamma 90.00
loop_
_atom_site_label
_atom_site_type_symbol
_atom_site_fract_x
_atom_site_fract_y
_atom_site_fract_z
Hf1 Hf 0.000 0.000 0.000
Al1 Al 0.500 0.500 0.500
P1 P 0.000 0.000 0.500
S1 S 0.000 0.500 0.000
# Total magnetic moment (μB per formula unit): 0.0

***

#b
# HfAlPS2, relaxed, DFT PBE
data_HfAlPS2
_chemical_formula_sum 'Hf1 Al1 P1 S2'
_symmetry_space_group_name_H-M 'P 4/m m m'
_symmetry_Int_Tables_number 123
_symmetry_space_group_name_Hall '-P 4 2'
_cell_length_a 4.488
_cell_length_b 4.488
_cell_length_c 4.681
_cell_angle_alpha 90.00
_cell_angle_beta 90.00
_cell_angle_gamma 90.00
loop_
_atom_site_label
_atom_site_type_symbol
_atom_site_fract_x
_atom_site_fract_y
_atom_site_fract_z
Hf1 Hf 0.000 0.000 0.000
Al1 Al 0.500 0.500 0.500
P1 P 0.500 0.500 0.000
S1 S 0.000 0.500 0.500
# Total magnetic moment (μB per formula unit): 0.0

***

Most stable pick: #a. Distance to second place: 15.4 kJ/mol of atoms.

***

#a
# HfAlP2S, relaxed, DFT PBE
data_HfAlP2S
_chemical_formula_sum 'Hf1 Al1 P2 S1'
_symmetry_space_group_name_H-M 'P 4/m m m'
_symmetry_Int_Tables_number 123
_symmetry_space_group_name_Hall '-P 4 2'
_cell_length_a 5.024
_cell_length_b 5.024
_cell_length_c 4.871
_cell_angle_alpha 90.00
_cell_angle_beta 90.00
_cell_angle_gamma 90.00
loop_
_atom_site_label
_atom_site_type_symbol
_atom_site_fract_x
_atom_site_fract_y
_atom_site_fract_z
Hf1 Hf 0.000 0.000 0.000
Al1 Al 0.500 0.500 0.500
P1 P 0.000 0.500 0.000
S1 S 0.000 0.000 0.500
# Total magnetic moment (μB per formula unit): 0.0

***

#b
# HfAlP2S, relaxed, DFT PBE
data_HfAlP2S
_chemical_formula_sum 'Hf1 Al1 P2 S1'
_symmetry_space_group_name_H-M 'P 4/m m m'
_symmetry_Int_Tables_number 123
_symmetry_space_group_name_Hall '-P 4 2'
_cell_length_a 4.570
_cell_length_b 4.570
_cell_length_c 4.545
_cell_angle_alpha 90.00
_cell_angle_beta 90.00
_cell_angle_gamma 90.00
loop_
_atom_site_label
_atom_site_type_symbol
_atom_site_fract_x
_atom_site_fract_y
_atom_site_fract_z
Hf1 Hf 0.000 0.000 0.000
Al1 Al 0.500 0.500 0.500
P1 P 0.000 0.500 0.500
S1 S 0.500 0.500 0.000
# Total magnetic moment (μB per formula unit): 0.0

***

Most stable pick: #a. Distance to second place: 10.3 kJ/mol of atoms.

***

#a
# Hf2PaAl, relaxed, DFT PBE
data_Hf2PaAl
_chemical_formula_sum 'Hf6 Pa3 Al3'
_symmetry_space_group_name_H-M 'R -3 m'
_symmetry_Int_Tables_number 166
_symmetry_space_group_name_Hall '-R 3 2"'
_cell_length_a 4.1411
_cell_length_b 4.1411
_cell_length_c 25.6120
_cell_angle_alpha 90.00
_cell_angle_beta 90.00
_cell_angle_gamma 120.00
loop_
_atom_site_label
_atom_site_type_symbol
_atom_site_fract_x
_atom_site_fract_y
_atom_site_fract_z
Hf1 Hf 0.0000 0.0000 0.1118
Pa1 Pa 0.0000 0.0000 0.5000
Al1 Al 0.0000 0.0000 0.0000
# Total magnetic moment (μB per formula unit): 0.0

***

#b
# Hf2PaAl, relaxed, DFT PBE
data_Hf2PaAl
_chemical_formula_sum 'Hf4 Pa2 Al2'
_symmetry_space_group_name_H-M 'C 1 m 1'
_symmetry_Int_Tables_number 8
_symmetry_space_group_name_Hall 'C -2y'
_cell_length_a 5.453
_cell_length_b 3.176
_cell_length_c 10.200
_cell_angle_alpha 90.00
_cell_angle_beta 99.79
_cell_angle_gamma 90.00
loop_
_atom_site_label
_atom_site_type_symbol
_atom_site_fract_x
_atom_site_fract_y
_atom_site_fract_z
Hf1 Hf 0.000 0.000 0.000
Hf2 Hf 0.168 0.000 0.530
Pa1 Pa 0.246 0.500 0.265
Al1 Al 0.084 0.500 0.765
# Total magnetic moment (μB per formula unit): 0.0

***

Most stable pick: #b. Distance to second place: 165.9 kJ/mol of atoms.

***

#a
# Hf2PaAl, relaxed, DFT PBE
data_Hf2PaAl
_chemical_formula_sum 'Hf2 Pa1 Al1'
_symmetry_space_group_name_H-M 'P 4/m m m'
_symmetry_Int_Tables_number 123
_symmetry_space_group_name_Hall '-P 4 2'
_cell_length_a 4.559
_cell_length_b 4.559
_cell_length_c 4.127
_cell_angle_alpha 90.00
_cell_angle_beta 90.00
_cell_angle_gamma 90.00
loop_
_atom_site_label
_atom_site_type_symbol
_atom_site_fract_x
_atom_site_fract_y
_atom_site_fract_z
Hf1 Hf 0.000 0.500 0.000
Pa1 Pa 0.000 0.000 0.500
Al1 Al 0.500 0.500 0.500
# Total magnetic moment (μB per formula unit): 0.0

***

#b
# Hf2PaAl, relaxed, DFT PBE
data_Hf2PaAl
_chemical_formula_sum 'Hf2 Pa1 Al1'
_symmetry_space_group_name_H-M 'P 4/m m m'
_symmetry_Int_Tables_number 123
_symmetry_space_group_name_Hall '-P 4 2'
_cell_length_a 3.038
_cell_length_b 3.038
_cell_length_c 9.228
_cell_angle_alpha 90.00
_cell_angle_beta 90.00
_cell_angle_gamma 90.00
loop_
_atom_site_label
_atom_site_type_symbol
_atom_site_fract_x
_atom_site_fract_y
_atom_site_fract_z
Hf1 Hf 0.000 0.000 0.222
Pa1 Pa 0.500 0.500 0.500
Al1 Al 0.500 0.500 0.000
# Total magnetic moment (μB per formula unit): 0.0

***

Most stable pick: #a. Distance to second place: 1.7 kJ/mol of atoms.

***

#a
# HfPaAl2, relaxed, DFT PBE
data_HfPaAl2
_chemical_formula_sum 'Hf1 Pa1 Al2'
_symmetry_space_group_name_H-M 'P 4/m m m'
_symmetry_Int_Tables_number 123
_symmetry_space_group_name_Hall '-P 4 2'
_cell_length_a 4.361
_cell_length_b 4.361
_cell_length_c 4.366
_cell_angle_alpha 90.00
_cell_angle_beta 90.00
_cell_angle_gamma 90.00
loop_
_atom_site_label
_atom_site_type_symbol
_atom_site_fract_x
_atom_site_fract_y
_atom_site_fract_z
Hf1 Hf 0.000 0.000 0.000
Pa1 Pa 0.500 0.500 0.000
Al1 Al 0.000 0.500 0.500
# Total magnetic moment (μB per formula unit): 0.0

***

#b
# HfPaAl2, relaxed, DFT PBE
data_HfPaAl2
_chemical_formula_sum 'Hf3 Pa3 Al6'
_symmetry_space_group_name_H-M 'R -3 m'
_symmetry_Int_Tables_number 166
_symmetry_space_group_name_Hall '-R 3 2"'
_cell_length_a 3.0829
_cell_length_b 3.0829
_cell_length_c 30.2480
_cell_angle_alpha 90.00
_cell_angle_beta 90.00
_cell_angle_gamma 120.00
loop_
_atom_site_label
_atom_site_type_symbol
_atom_site_fract_x
_atom_site_fract_y
_atom_site_fract_z
Hf1 Hf 0.0000 0.0000 0.0000
Pa1 Pa 0.0000 0.0000 0.5000
Al1 Al 0.0000 0.0000 0.2541
# Total magnetic moment (μB per formula unit): 0.0

***

#c
# HfPaAl2, relaxed, DFT PBE
data_HfPaAl2
_chemical_formula_sum 'Hf1 Pa1 Al2'
_symmetry_space_group_name_H-M 'P 4/m m m'
_symmetry_Int_Tables_number 123
_symmetry_space_group_name_Hall '-P 4 2'
_cell_length_a 3.053
_cell_length_b 3.053
_cell_length_c 8.610
_cell_angle_alpha 90.00
_cell_angle_beta 90.00
_cell_angle_gamma 90.00
loop_
_atom_site_label
_atom_site_type_symbol
_atom_site_fract_x
_atom_site_fract_y
_atom_site_fract_z
Hf1 Hf 0.000 0.000 0.000
Pa1 Pa 0.000 0.000 0.500
Al1 Al 0.500 0.500 0.234
# Total magnetic moment (μB per formula unit): 0.5

***

Most stable pick: #c. Distance to second place: 9.6 kJ/mol of atoms.